Record 1
A plane-wave DFT calculation with PBE was carried out for a relaxed structure of Mg13Pb2.

a = 8.2836 Å, b = 8.2836 Å, c = 9.0515 Å
α = 62.77°, β = 62.77°, γ = 60.00°
Sites, in units of the cell vectors:
Mg: 0.5000 0.5000 0.5000
Mg: 0.4803 0.8568 0.1825
Mg: 0.4803 0.4803 0.1825
Mg: 0.8568 0.4803 0.1825
Mg: 0.1432 0.5197 0.8175
Mg: 0.5197 0.1432 0.8175
Mg: 0.5197 0.5197 0.8175
Mg: 0.2676 0.9012 0.5636
Mg: 0.2676 0.2676 0.5636
Mg: 0.9012 0.2676 0.5636
Mg: 0.0988 0.7324 0.4364
Mg: 0.7324 0.0988 0.4364
Mg: 0.7324 0.7324 0.4364
Pb: 0.2788 0.2788 0.1635
Pb: 0.7212 0.7212 0.8365

Theoretical density = 2.66 g cm⁻³
D(E_F) = 3.6 states/eV per cell
E = -1.70 eV per atom
Formation energy from the elements = 2.69 eV/f.u.
Magnetic moment = 0.000 μB/cell


Record 2
A plane-wave DFT calculation with PBE was carried out for a relaxed structure of Zr7Ga2N2.

a = 5.9981 Å, b = 5.8697 Å, c = 5.9981 Å
α = 89.95°, β = 107.98°, γ = 90.05°
Sites, in units of the cell vectors:
Zr: 0.9998 0.2404 0.5001
Zr: 0.5001 0.7596 0.9998
Zr: 0.0002 0.7596 0.4999
Zr: 0.4999 0.2404 0.0002
Zr: 0.0000 0.0000 0.0000
Zr: 0.5002 0.7603 0.4998
Zr: 0.4998 0.2397 0.5002
Ga: 0.8283 0.5000 0.8283
Ga: 0.1717 0.5000 0.1717
N: 0.7367 0.9999 0.2633
N: 0.2633 0.0001 0.7367

Theoretical density = 6.66 g cm⁻³
D(E_F) = 9.2 states/eV per cell
E = -8.04 eV per atom
Formation energy (no corrections) = -5.85 eV/f.u.
Magnetic moment = 0.000 μB/cell


Record 3
A plane-wave DFT calculation with PBE was carried out for a relaxed structure of GdErTe2.

a = 3.7849 Å, b = 3.7849 Å, c = 7.5756 Å
α = 90.00°, β = 90.00°, γ = 90.00°
Last column: magnetic moment on the atom in μB.
Sites, in units of the cell vectors:
Gd: 0.5000 0.5000 0.5000  7.32
Te: 0.0000 0.0000 0.7549  -0.03
Te: 0.0000 0.0000 0.2451  -0.03
Er: 0.5000 0.5000 0.0000  0.34

Theoretical density = 8.87 g cm⁻³
D(E_F) = 4.5 states/eV per cell
E = -7.42 eV per atom
Formation energy (no corrections) = -4.76 eV/f.u.
Magnetic moment = 8.152 μB/cell